[1]
Material: GaReF2
Method: DFT, PBE-GGA
State: relaxed

It has space group R-3m (No. 166, hexagonal axes), with a = 2.7409 Å, b = 2.7409 Å, c = 24.8801 Å, α = 90.00°, β = 90.00° and γ = 120.00°. The inequivalent atoms are Ga at (0.0000, 0.0000, 0.0000), Re at (0.0000, 0.0000, 0.5000) and F at (0.0000, 0.0000, 0.4206).

The crystal system is trigonal. For the formation energy (no corrections), the calculation gives -1.079 eV per atom.


[2]
Material: Ga2ReF
Method: DFT, PBE-GGA
State: relaxed

It has space group Fm-3m (No. 225), with a = 6.2571 Å, b = 6.2571 Å, c = 6.2571 Å, α = 90.00°, β = 90.00° and γ = 90.00°. The inequivalent atoms are Ga at (0.2500, 0.2500, 0.2500), Re at (0.0000, 0.0000, 0.0000) and F at (0.0000, 0.0000, 0.5000).

The crystal system is cubic. For the formation energy (no corrections), the calculation gives 0.106 eV per atom.


no.,energy above the most stable polymorph in this dataset (eV/atom),VASP energy (eV/atom)
1,0.000,-5.883
2,0.157,-4.987